Entry 1:
Here is a relaxed structure of Li15Bi4Pd2O20 from Alexandria via LeMat-Bulk. Energies are from PBEsol.

Results
space-group type = P1, No. 1
E = -5.475 eV/atom
ΔE_f (raw) = -1.4860 eV/atom

a = 5.2988 Å, b = 7.9993 Å, c = 11.0256 Å
α = 92.71°, β = 103.59°, γ = 103.93°
Each line ends with the local moment (μB).
Sites, in units of the cell vectors:
1 Bi 0.5028 0.4111 0.7207  0.00
2 Bi 0.0003 0.0945 0.2805  0.00
3 Bi 0.9997 0.9023 0.7205  -0.01
4 Bi 0.5007 0.5927 0.2810  0.00
5 Li 0.0516 0.6287 0.9030  0.00
6 Li 0.9683 0.3744 0.0894  0.00
7 Li 0.4859 0.0386 0.6190  0.00
8 Li 0.4568 0.6968 0.5422  0.00
9 Li 0.5265 0.1169 0.9008  0.00
10 Li 0.0182 0.8147 0.4610  0.00
11 Li 0.4664 0.8742 0.0879  0.00
12 Li 0.0142 0.7278 0.1975  0.00
13 Li 0.9864 0.2687 0.7972  0.00
14 Li 0.5169 0.2266 0.1957  0.00
15 Li 0.5366 0.3093 0.4645  0.00
16 Li 0.0092 0.4612 0.3904  0.00
17 Li 0.5088 0.9602 0.3918  0.00
18 Li 0.9748 0.1883 0.5435  0.00
19 Li 0.9963 0.5499 0.6179  0.00
20 O 0.2566 0.1595 0.7350  0.02
21 O 0.7422 0.9326 0.5547  0.00
22 O 0.2769 0.6041 0.0887  0.01
23 O 0.7399 0.2923 0.6402  0.01
24 O 0.2493 0.4404 0.5549  0.00
25 O 0.7687 0.1069 0.0904  0.01
26 O 0.8044 0.6439 0.7371  0.00
27 O 0.7520 0.2026 0.3592  0.00
28 O 0.2508 0.7021 0.3576  0.01
29 O 0.2208 0.9009 0.9155  0.01
30 O 0.2700 0.4959 0.8380  0.12
31 O 0.7253 0.4844 0.1671  0.08
32 O 0.8006 0.0343 0.8356  0.14
33 O 0.2136 0.9801 0.1647  0.08
34 O 0.2510 0.0683 0.4464  0.00
35 O 0.7472 0.8369 0.2575  0.01
36 O 0.7503 0.5624 0.4459  0.00
37 O 0.2456 0.3355 0.2516  0.00
38 O 0.2360 0.8039 0.6292  0.02
39 O 0.7245 0.3917 0.9132  0.02
40 Pd 0.9979 0.0056 0.9999  0.27
41 Pd 0.4997 0.4939 0.0012  0.26

Entry 2:
Here is a relaxed structure of LiSi2BiO6 from Alexandria via LeMat-Bulk. Energies are from PBEsol.

Results
space-group type = C2/c, No. 15
E = -7.241 eV/atom
ΔE_f (raw) = -2.3166 eV/atom

a = 5.4734 Å, b = 7.0409 Å, c = 7.0409 Å
α = 88.03°, β = 75.88°, γ = 75.88°
Sites, in units of the cell vectors:
1 Si 0.7049 0.3855 0.2217
2 Si 0.2049 0.2217 0.3855
3 Si 0.2951 0.6145 0.7783
4 Si 0.7951 0.7783 0.6145
5 Li 0.7500 0.2404 0.7596
6 Li 0.2500 0.7596 0.2404
7 Bi 0.2500 0.1209 0.8791
8 Bi 0.7500 0.8791 0.1209
9 O 0.4493 0.3264 0.3666
10 O 0.5507 0.6736 0.6334
11 O 0.1902 0.7686 0.9668
12 O 0.1070 0.1649 0.6115
13 O 0.3930 0.3885 0.8351
14 O 0.6070 0.6115 0.1649
15 O 0.0507 0.6334 0.6736
16 O 0.9493 0.3666 0.3264
17 O 0.8098 0.2314 0.0332
18 O 0.8930 0.8351 0.3885
19 O 0.3098 0.0332 0.2314
20 O 0.6902 0.9668 0.7686

Entry 3:
Here is a relaxed structure of LiSi3BiO8 from Alexandria via LeMat-Bulk. Energies are from PBEsol.

Results
energy above the most stable polymorph in this dataset = 26 meV per atom
space-group type = P1, No. 1
E = -7.416 eV/atom
ΔE_f (raw) = -2.3788 eV/atom

a = 7.0760 Å, b = 7.3513 Å, c = 7.7180 Å
α = 112.66°, β = 106.55°, γ = 99.09°
Sites, in units of the cell vectors:
1 O 0.2950 0.6945 0.3036
2 O 0.6659 0.7565 0.9423
3 O 0.2480 0.9325 0.6382
4 O 0.3155 0.5793 0.5828
5 O 0.8477 0.3378 0.1391
6 O 0.7295 0.3359 0.6823
7 O 0.7454 0.0564 0.3234
8 O 0.6227 0.3916 0.3653
9 O 0.0412 0.0750 0.8657
10 O 0.6919 0.6617 0.2486
11 O 0.1704 0.7333 0.9582
12 O 0.3810 0.0727 0.3343
13 O 0.4359 0.2932 0.9729
14 O 0.1609 0.2790 0.6581
15 O 0.0186 0.8936 0.2436
16 O 0.6262 0.9001 0.6542
17 Si 0.2142 0.1445 0.7826
18 Si 0.6282 0.2115 0.4435
19 Si 0.6517 0.4111 0.1684
20 Si 0.2186 0.8332 0.1947
21 Si 0.3812 0.7844 0.5536
22 Si 0.7685 0.8334 0.1825
23 Bi 0.1148 0.2780 0.3621
24 Bi 0.8448 0.7354 0.7463
25 Li 0.3356 0.5774 0.8310
26 Li 0.8107 0.1973 0.8433

Entry 4:
Here is a relaxed structure of Li3Si2BiO7 from Alexandria via LeMat-Bulk. Energies are from PBEsol.

Results
space-group type = Pnma, No. 62
E = -6.752 eV/atom
ΔE_f (raw) = -2.2583 eV/atom

a = 4.9782 Å, b = 9.5220 Å, c = 13.0300 Å
α = 90.00°, β = 90.00°, γ = 90.00°
Sites, in units of the cell vectors:
1 O 0.1131 0.6244 0.4626
2 O 0.6514 0.6576 0.3650
3 O 0.9341 0.1440 0.8576
4 O 0.1131 0.6244 0.0374
5 O 0.8486 0.1576 0.1350
6 O 0.9341 0.1440 0.6424
7 O 0.5893 0.8823 0.7500
8 O 0.5659 0.6440 0.6424
9 O 0.5659 0.6440 0.8576
10 O 0.1514 0.8424 0.6350
11 O 0.3869 0.1244 0.0374
12 O 0.6131 0.8756 0.9626
13 O 0.3869 0.1244 0.4626
14 O 0.0659 0.8560 0.1424
15 O 0.3486 0.3424 0.8650
16 O 0.4341 0.3560 0.1424
17 O 0.8486 0.1576 0.3650
18 O 0.0893 0.6177 0.2500
19 O 0.6131 0.8756 0.5374
20 O 0.8869 0.3756 0.9626
21 O 0.1514 0.8424 0.8650
22 O 0.0659 0.8560 0.3576
23 O 0.4107 0.1177 0.2500
24 O 0.8869 0.3756 0.5374
25 O 0.9107 0.3823 0.7500
26 O 0.4341 0.3560 0.3576
27 O 0.6514 0.6576 0.1350
28 O 0.3486 0.3424 0.6350
29 Si 0.5260 0.1898 0.1400
30 Si 0.5260 0.1898 0.3600
31 Si 0.9740 0.6898 0.3600
32 Si 0.0260 0.3102 0.8600
33 Si 0.9740 0.6898 0.1400
34 Si 0.0260 0.3102 0.6400
35 Si 0.4740 0.8102 0.8600
36 Si 0.4740 0.8102 0.6400
37 Li 0.0508 0.3155 0.4071
38 Li 0.5508 0.1845 0.5929
39 Li 0.9688 0.9789 0.7500
40 Li 0.9492 0.6845 0.5929
41 Li 0.0312 0.0211 0.2500
42 Li 0.9492 0.6845 0.9071
43 Li 0.4492 0.8155 0.4071
44 Li 0.4492 0.8155 0.0929
45 Li 0.4688 0.5211 0.2500
46 Li 0.5508 0.1845 0.9071
47 Li 0.0508 0.3155 0.0929
48 Li 0.5312 0.4789 0.7500
49 Bi 0.0000 0.0000 0.0000
50 Bi 0.5000 0.5000 0.0000
51 Bi 0.5000 0.5000 0.5000
52 Bi 0.0000 0.0000 0.5000

Entry 5:
Here is a relaxed structure of Li3SiBiO5 from Alexandria via LeMat-Bulk. Energies are from PBEsol.

Results
space-group type = Pna2_1, No. 33
E = -6.310 eV/atom
ΔE_f (raw) = -2.0919 eV/atom

a = 5.2017 Å, b = 5.4213 Å, c = 16.2921 Å
α = 90.00°, β = 90.00°, γ = 90.00°
Sites, in units of the cell vectors:
1 O 0.1341 0.3992 0.3902
2 O 0.6978 0.6437 0.4318
3 O 0.6558 0.6623 0.9734
4 O 0.4735 0.1789 0.6846
5 O 0.1341 0.8992 0.1098
6 O 0.1047 0.7888 0.6886
7 O 0.6047 0.2112 0.3114
8 O 0.1978 0.3563 0.5682
9 O 0.9735 0.8211 0.3154
10 O 0.1558 0.8377 0.4734
11 O 0.4735 0.6789 0.8154
12 O 0.9735 0.3211 0.1846
13 O 0.1978 0.8563 0.9318
14 O 0.6047 0.7112 0.1886
15 O 0.1047 0.2888 0.8114
16 O 0.6341 0.6008 0.6098
17 O 0.6558 0.1623 0.5266
18 O 0.6978 0.1437 0.0682
19 O 0.1558 0.3377 0.0266
20 O 0.6341 0.1008 0.8902
21 Li 0.0151 0.1753 0.4829
22 Li 0.4824 0.2963 0.8046
23 Li 0.4824 0.7963 0.6954
24 Li 0.5151 0.8247 0.5171
25 Li 0.0151 0.6753 0.0171
26 Li 0.4971 0.3375 0.4217
27 Li 0.4971 0.8375 0.0783
28 Li 0.9824 0.7037 0.1954
29 Li 0.9971 0.1625 0.9217
30 Li 0.9824 0.2037 0.3046
31 Li 0.5151 0.3247 0.9829
32 Li 0.9971 0.6625 0.5783
33 Si 0.5060 0.3317 0.5939
34 Si 0.5060 0.8317 0.9061
35 Si 0.0060 0.1683 0.0939
36 Si 0.0060 0.6683 0.4061
37 Bi 0.0284 0.6785 0.8182
38 Bi 0.5284 0.3215 0.1818
39 Bi 0.0284 0.1785 0.6818
40 Bi 0.5284 0.8215 0.3182

Entry 6:
Here is a relaxed structure of LiSiBiO4 from Alexandria via LeMat-Bulk. Energies are from PBEsol.

Results
energy above the most stable polymorph in this dataset = 72 meV per atom
space-group type = Pna2_1, No. 33
E = -6.782 eV/atom
ΔE_f (raw) = -2.0687 eV/atom

a = 5.1761 Å, b = 7.4375 Å, c = 10.5009 Å
α = 90.00°, β = 90.00°, γ = 90.00°
Sites, in units of the cell vectors:
1 O 0.8578 0.5908 0.3344
2 O 0.3578 0.0908 0.1656
3 O 0.9402 0.2107 0.6444
4 O 0.3841 0.4564 0.1808
5 O 0.3578 0.4092 0.6656
6 O 0.9402 0.2893 0.1444
7 O 0.4402 0.7107 0.8556
8 O 0.8080 0.7866 0.5454
9 O 0.8080 0.7134 0.0454
10 O 0.8578 0.9092 0.8344
11 O 0.8841 0.5436 0.8192
12 O 0.8841 0.9564 0.3192
13 O 0.3841 0.0436 0.6808
14 O 0.3080 0.2134 0.4546
15 O 0.4402 0.7893 0.3556
16 O 0.3080 0.2866 0.9546
17 Bi 0.2632 0.9839 0.8700
18 Bi 0.7632 0.0161 0.1300
19 Bi 0.7632 0.4839 0.6300
20 Bi 0.2632 0.5161 0.3700
21 Li 0.2529 0.4837 0.8420
22 Li 0.7529 0.5163 0.1580
23 Li 0.2529 0.0163 0.3420
24 Li 0.7529 0.9837 0.6580
25 Si 0.7479 0.7142 0.8942
26 Si 0.2479 0.2142 0.6058
27 Si 0.7479 0.7858 0.3942
28 Si 0.2479 0.2858 0.1058